# 1
Below is NaZrP after structural relaxation, with properties calculated at the PBE level.

Structure (POSCAR):
```
NaZrP
1.0
3.609 0.000 0.000
0.000 3.650 0.000
-0.013 -0.002 11.059
Na Zr P
2 2 2
Direct
0.000 0.000 0.000
0.497 0.499 0.255
0.496 0.002 0.536
0.997 0.502 0.719
0.497 0.002 0.781
0.996 0.502 0.474
```

Electronic total energy in eV/atom: -5.916
Crystal system: triclinic
Spin magnetization in μB/f.u.: 0.00

=====

# 2
Below is Sm4AlPt after structural relaxation, with properties calculated at the PBE level.

Structure (POSCAR):
```
Sm4AlPt
1.0
0.000 6.934 6.934
6.934 0.000 6.934
6.934 6.934 0.000
Sm Al Pt
16 4 4
Direct
0.054 0.054 0.446
0.054 0.446 0.054
0.054 0.446 0.446
0.185 0.185 0.815
0.185 0.815 0.185
0.185 0.815 0.815
0.191 0.603 0.603
0.446 0.054 0.054
0.446 0.054 0.446
0.446 0.446 0.054
0.603 0.191 0.603
0.603 0.603 0.191
0.603 0.603 0.603
0.815 0.185 0.185
0.815 0.185 0.815
0.815 0.815 0.185
0.524 0.825 0.825
0.825 0.524 0.825
0.825 0.825 0.524
0.825 0.825 0.825
0.393 0.393 0.393
0.393 0.393 0.821
0.393 0.821 0.393
0.821 0.393 0.393
```

Electronic total energy in eV/atom: -5.344
Crystal system: cubic
Spin magnetization in μB/f.u.: 0.00

=====

# 3
Below is BeCoAs2Se after structural relaxation, with properties calculated at the PBE level.

Structure (POSCAR):
```
BeCoAs2Se
1.0
4.350 0.000 0.000
0.000 4.350 0.000
0.000 0.000 4.743
Be Co As Se
1 1 2 1
Direct
0.000 0.000 0.000
0.500 0.500 0.500
0.000 0.500 0.000
0.500 0.000 0.000
0.000 0.000 0.500
```

Electronic total energy in eV/atom: -3.933
Formation energy from raw total energies in meV per atom: 790
Crystal system: tetragonal
Spin magnetization in μB/f.u.: 1.68